VASP calculation (PBE with a Hubbard U) on crystalline MnCdPb2O4 at its relaxed geometry.

a = 7.0127 Å, b = 7.0127 Å, c = 7.0470 Å
α = 120.18°, β = 120.18°, γ = 89.91°
Last column: nearest neighbours and their distance in Å.
Atoms (fractional coordinates):
Mn1 0.5000 0.5000 0.5000  6 O 2.31-2.34
Mn2 0.0000 0.0000 0.0000  6 O 2.31-2.34
Cd1 0.0000 0.5000 0.0000  6 O 2.40-2.41
Cd2 0.0000 0.5000 0.5000  6 O 2.40-2.41
Pb1 0.5000 0.0000 0.0000  6 O 2.56-2.57
Pb2 0.5000 0.0000 0.5000  6 O 2.56-2.57
Pb3 0.0000 0.0000 0.5000  6 O 2.63-2.65
Pb4 0.5000 0.5000 0.0000  6 O 2.63-2.65
O1 0.2152 0.7504 0.9828  1 Mn 2.31, 2 Cd 2.40, 2 Pb 2.57
O2 0.7496 0.2848 0.5172  1 Mn 2.31, 2 Cd 2.40, 2 Pb 2.57
O3 0.2504 0.7152 0.4828  1 Mn 2.31, 2 Cd 2.40, 2 Pb 2.57
O4 0.7848 0.2496 0.0172  1 Mn 2.31, 2 Cd 2.40, 2 Pb 2.57
O5 0.7573 0.7422 0.9704  2 Mn 2.34, 1 Cd 2.41, 1 Pb 2.56
O6 0.7578 0.7427 0.5296  2 Mn 2.34, 1 Cd 2.41, 1 Pb 2.56
O7 0.2422 0.2573 0.4704  2 Mn 2.34, 1 Cd 2.41, 1 Pb 2.56
O8 0.2427 0.2578 0.0296  2 Mn 2.34, 1 Cd 2.41, 1 Pb 2.56

Summary:
* space group: Imma, No. 74
* electronic total energy: -5.5134 eV/atom
* volume: 122.0 Å³/f.u.